The following is a GGA-PBE calculation of Li2CdGaO4 after structural relaxation, from Alexandria.

Properties
- Final energy: -4.9381 eV/atom
- Total magnetization: 1.05 μB/cell
- DOS(E_F): 0.60 states/eV/atom
- E_form (uncorrected): -11.9 eV/f.u.

a b c (Å): 4.871 5.370 5.370
angles (deg): 53.93 63.03 63.03
Last column: magnetic moment on the atom in μB.
Sites, in units of the cell vectors:
Li (0.250, 0.250, 0.250)  0.00
Li (0.750, 0.750, 0.750)  0.00
Cd (0.000, 0.000, 0.000)  0.05
Ga (0.500, 0.500, 0.500)  0.00
O (0.407, 0.148, 0.593)  0.21
O (0.148, 0.852, 0.407)  0.21
O (0.852, 0.593, 0.148)  0.21
O (0.593, 0.407, 0.852)  0.21